Material: BeAs2W
Method: DFT, PBE
State: optimized geometry

a b c (Å): 3.210 4.697 4.044
angles (deg): 90.00 90.00 90.00
Fractional positions:
W  0.000  0.500  0.500
Be  0.500  0.000  0.500
As  0.000  0.000  0.000
As  0.500  0.500  0.000

Output
Size of the total moment = 0.0 μB/f.u.
N(E_F) = 1.77 states/eV per cell
Space group = Pmmm (47)
Formation energy = 0.623 eV per atom


Material: SrTaAs
Method: DFT, PBE
State: optimized geometry

a b c (Å): 6.369 6.369 3.560
angles (deg): 73.77 73.77 32.45
Fractional positions:
As  0.053  0.053  0.947
Ta  0.618  0.618  0.382
Sr  0.329  0.329  0.671

Output
Size of the total moment = 0.0 μB/f.u.
N(E_F) = 2.09 states/eV per cell
Space group = I4mm (107)
Offset from the most stable computed form = 522 meV per atom
Formation energy = -0.109 eV per atom


Material: CsAsIr
Method: DFT, PBE
State: optimized geometry

a b c (Å): 3.393 3.393 7.048
angles (deg): 103.93 103.93 90.00
Fractional positions:
Ir  0.284  0.284  0.568
As  0.717  0.717  0.434
Cs  0.999  0.999  0.999

Output
Size of the total moment = 0.0 μB/f.u.
N(E_F) = 1.92 states/eV per cell
Space group = I4mm (107)
Formation energy = 0.070 eV per atom


Material: MnSi2SN
Method: DFT, PBE
State: optimized geometry

a b c (Å): 4.838 2.908 9.546
angles (deg): 90.00 110.19 90.00
Fractional positions:
Si  0.953  0.000  0.538
Mn  0.203  0.500  0.436
Si  0.953  0.500  0.038
Mn  0.203  0.000  0.936
S  0.478  0.000  0.372
N  0.827  0.000  0.696
Si  0.577  0.500  0.658
S  0.478  0.500  0.872
N  0.827  0.500  0.196
Si  0.577  0.000  0.158

Output
Size of the total moment = 0.0 μB/f.u.
N(E_F) = 1.89 states/eV per cell
Space group = Cm (8)
Offset from the most stable computed form = 121 meV per atom
E_form (uncorrected) = -0.337 eV per atom


Material: Ga2Sn3Br8
Method: DFT, PBE
State: optimized geometry

a b c (Å): 7.479 8.474 8.474
angles (deg): 62.54 89.63 89.63
Fractional positions:
Sn  0.000  0.256  0.744
Ga  0.492  0.723  0.723
Sn  0.000  0.744  0.256
Ga  0.508  0.277  0.277
Br  0.329  0.114  0.642
Br  0.851  0.385  0.385
Br  0.149  0.615  0.615
Br  0.671  0.358  0.886
Sn  0.500  0.000  0.000
Br  0.329  0.642  0.114
Br  0.671  0.886  0.358
Br  0.171  0.120  0.120
Br  0.829  0.880  0.880

Output
Size of the total moment = 0.0 μB/f.u.
N(E_F) = 0.00 states/eV per cell
Space group = C2/m (12)
E_form (uncorrected) = -0.686 eV per atom


Material: Nd8DyTh4
Method: DFT, PBE
State: optimized geometry

a b c (Å): 11.428 11.428 7.918
angles (deg): 90.00 136.19 120.00
Fractional positions:
Nd  0.030  0.770  0.800
Th  0.000  0.000  0.000
Nd  0.460  0.230  0.200
Nd  0.970  0.740  0.200
Nd  0.970  0.230  0.200
Nd  0.526  0.763  0.290
Th  0.000  0.500  0.000
Dy  0.000  0.500  0.500
Th  0.500  0.000  0.000
Nd  0.474  0.237  0.710
Nd  0.540  0.770  0.800
Th  0.500  0.500  0.000
Nd  0.030  0.260  0.800

Output
Size of the total moment = 0.0 μB/f.u.
N(E_F) = 21.61 states/eV per cell
Space group = R-3m (166)
Formation energy = 0.553 eV per atom


Q: Look up the size of the total moment of the first one.
A: 0.0 μB/f.u.